Material: ThScNiPt
Method: DFT, PBE-GGA
State: optimized geometry

**Density**: 10.6 g/cm3
**ΔE_f**: -0.808 eV per atom
**D(E_F)**: 3.3 states/eV per cell
**Energy**: -7.20 eV/atom

Unit cell a=4.551 b=4.551 c=5.316 alpha=115.18 beta=115.18 gamma=60.13
Fractional positions:
Th (0.000, 0.000, 0.000)
Sc (0.497, 0.497, 0.491)
Ni (0.792, 0.792, 0.373)
Pt (0.220, 0.220, 0.662)